1.
Material: Sm2TiGa3Ir4
Method: DFT, GGA-PBE
State: relaxed

The structure in POSCAR format:
```
Sm2TiGa3Ir4
1.0
4.1793 0.0000 0.0000
0.0000 4.1793 0.0000
0.0000 0.0000 10.7658
Sm Ti Ga Ir
2 1 3 4
Cartesian
2.0896 0.0000 2.5063 Sm
0.0000 2.0896 8.2595 Sm
2.0896 2.0896 5.3829 Ti
0.0000 0.0000 5.3829 Ga
2.0896 0.0000 9.3947 Ga
0.0000 2.0896 1.3711 Ga
2.0896 2.0896 0.0000 Ir
0.0000 0.0000 0.0000 Ir
2.0896 0.0000 6.8775 Ir
0.0000 2.0896 3.8883 Ir
```

Output
total magnetic moment: 0.0 μB per formula unit
ΔH_f (0 K): -738.4 meV/atom
SG: No. 115



2.
Material: BeIr2Se
Method: DFT, GGA-PBE
State: relaxed

The structure in POSCAR format:
```
BeIr2Se
1.0
-0.8312 -2.5173 -1.6971
1.0023 -1.8884 2.3102
-5.2850 0.1285 2.3980
Be Ir Se
1 2 1
Cartesian
-4.3209 -2.0958 2.3059 Be
-4.8592 0.1181 2.2048 Ir
-1.2964 -2.1693 0.9336 Ir
-2.5648 0.0623 1.1637 Se
```

Output
total magnetic moment: 0.0 μB per formula unit
formation energy without anion corrections: 0.148 eV/atom
SG: No. 99
offset from the most stable computed form: 112.5 meV per atom



3.
Material: SiIrBr
Method: DFT, GGA-PBE
State: relaxed

The structure in POSCAR format:
```
SiIrBr
1.0
6.4935 0.0054 -0.0032
4.9763 4.1715 0.0032
-5.8236 -1.8448 2.2017
Br Ir Si
1 1 1
Cartesian
11.3265 4.1247 0.0000 Br
2.4993 0.9102 0.0000 Ir
9.1137 3.3189 0.0000 Si
```

Output
total magnetic moment: 0.0 μB per formula unit
formation energy without anion corrections: -0.147 eV/atom
SG: No. 44
offset from the most stable computed form: 0.0 meV per atom



4.
Material: Ac2Zn4Sn3Ge
Method: DFT, GGA-PBE
State: relaxed

The structure in POSCAR format:
```
Ac2Zn4Sn3Ge
1.0
-4.7158 0.7019 -0.5879
-0.7356 -4.7411 0.2406
-1.1910 0.7127 10.4049
Ac Zn Sn Ge
2 4 3 1
Cartesian
-2.6584 0.5308 2.3312 Ac
-1.2584 -1.8376 7.9000 Ac
-2.7257 -2.0196 -0.1737 Zn
0.0000 0.0000 0.0000 Zn
-3.0935 0.7911 6.1320 Zn
-0.8233 -2.0980 4.0992 Zn
-0.5955 0.3564 5.2025 Sn
-3.3926 0.9701 8.7457 Sn
-0.5241 -2.2770 1.4856 Sn
-3.3212 -1.6632 5.0288 Ge
```

Output
total magnetic moment: 0.0 μB per formula unit
ΔH_f (0 K): -394.0 meV/atom
SG: No. 115



5.
Material: Ti2Ga2Ru3
Method: DFT, GGA-PBE
State: relaxed

The structure in POSCAR format:
```
Ti2Ga2Ru3
1.0
4.0149 -0.1324 -1.5943
-2.2687 3.7654 0.0012
-0.8898 -0.5390 7.5297
Ti Ga Ru
2 2 3
Cartesian
2.2711 1.3780 -0.1930 Ti
-1.4147 1.7159 6.1296 Ti
0.9630 0.5833 2.2779 Ga
-0.1066 2.5106 3.6587 Ga
0.0000 0.0000 0.0000 Ru
0.4169 0.2596 4.9097 Ru
0.4396 2.8343 1.0269 Ru
```

Output
total magnetic moment: 0.0 μB per formula unit
ΔH_f (0 K): -509.0 meV/atom
SG: No. 2



6.
Material: Cr2NiSe
Method: DFT, GGA-PBE
State: relaxed

The structure in POSCAR format:
```
Cr2NiSe
1.0
4.1778 -0.0344 0.0163
-4.1410 5.0715 -0.0252
0.0031 1.5753 2.3300
Cr Ni Se
2 1 1
Cartesian
0.0000 0.0000 0.0000 Cr
-2.0690 3.3234 1.1524 Cr
0.0184 2.5185 -0.0045 Ni
2.0904 0.7704 1.1731 Se
```

Output
total magnetic moment: 0.0 μB per formula unit
formation energy without anion corrections: 0.254 eV/atom
SG: No. 123